A relaxed structure of LuTlZnAu, computed with PBE.

a b c (Å): 4.918 4.918 4.918
angles (deg): 60.00 60.00 60.00
Fractional coordinates of all 4 atoms:
Zn 0.000 0.000 0.000
Au 0.250 0.250 0.250
Tl 0.750 0.750 0.750
Lu 0.500 0.500 0.500

* space-group type: No. 216
* DOS(E_F): 0.603 states/eV/atom
* magnetic moment: 0.000 μB/f.u.
* calculated formation energy: -309 meV/atom